Entry 1:
{"formula": "Pm2HoPuBi4", "functional": "PBE", "state": "optimized geometry", "cell": [[-2.1885, 0.7804, 3.9057], [-0.7605, -7.7439, 1.1211], [6.7105, 2.4669, 3.2673]], "species": ["Pm", "Pm", "Ho", "Pu", "Bi", "Bi", "Bi", "Bi"], "frac_coords": [[0.5000, 0.0000, 0.5000], [0.0000, 0.5000, 0.5000], [0.0000, 0.0000, 0.0000], [0.5000, 0.5000, 0.0000], [0.5000, 0.2461, 0.2432], [0.5000, 0.7539, 0.7568], [0.0000, 0.2501, 0.7555], [0.0000, 0.7499, 0.2445]], "space_group": "P2/m", "formation_energy_mev_per_atom": -753, "total_magnetization_mub_per_cell": 5.13}

***

Entry 2:
{"formula": "CdCuAu2F8", "functional": "PBE", "state": "optimized geometry", "cell": [[6.1851, 0.9157, 0.0000], [-1.9225, 5.9496, 0.0000], [-2.1313, -3.4327, 4.7716]], "species": ["Cd", "Cu", "Au", "Au", "F", "F", "F", "F", "F", "F", "F", "F"], "frac_coords": [[0.0000, 0.0000, 0.0000], [0.2500, 0.7500, 0.5000], [0.7500, 0.2500, 0.5000], [0.5000, 0.5000, 0.0000], [0.3536, 0.0367, 0.3168], [0.2835, 0.4999, 0.2164], [0.2835, 0.0671, 0.7836], [0.7199, 0.0367, 0.6832], [0.9329, 0.7165, 0.2164], [0.9633, 0.2801, 0.3168], [0.9633, 0.6464, 0.6832], [0.5001, 0.7165, 0.7836]], "space_group": "I-4m2", "raw_formation_energy_ev_per_atom": -1.15, "total_magnetization_mub_per_cell": 1.53}

***

Entry 3:
{"formula": "YIn2PSe", "functional": "PBE", "state": "optimized geometry", "cell": [[5.2995, 0.0000, 0.0000], [0.0000, 5.0461, 0.0000], [0.0000, 0.0000, 5.2995]], "species": ["Y", "P", "Se", "In", "In"], "frac_coords": [[0.5000, 0.5000, 0.5000], [0.0000, 0.5000, 0.0000], [0.0000, 0.0000, 0.0000], [0.0000, 0.0000, 0.5000], [0.5000, 0.0000, 0.0000]], "space_group": "P4/mmm", "raw_formation_energy_ev_per_atom": 0.32, "total_magnetization_mub_per_cell": 0.01}

***

Entry 4:
{"formula": "ZnCrFeIr", "functional": "PBE", "state": "optimized geometry", "cell": [[4.1854, 0.0000, 0.0000], [2.0927, 3.6246, 0.0000], [2.0927, 1.2082, 3.4173]], "species": ["Cr", "Zn", "Ir", "Fe"], "frac_coords": [[0.0000, 0.0000, 0.0000], [0.5000, 0.5000, 0.5000], [0.2500, 0.2500, 0.2500], [0.7500, 0.7500, 0.7500]], "space_group": "F-43m", "formation_energy_mev_per_atom": 26, "total_magnetization_mub_per_cell": 0.78}

***

Entry 5:
{"formula": "Sr5Br", "functional": "PBE", "state": "optimized geometry", "cell": [[5.9062, 2.9660, -2.9111], [-6.2341, 3.6455, 0.0240], [1.5807, 2.6643, 5.9216]], "species": ["Sr", "Sr", "Sr", "Sr", "Sr", "Br"], "frac_coords": [[0.6791, 0.0000, 0.0000], [0.3209, 0.3209, 0.0000], [0.0000, 0.6791, 0.0000], [0.6667, 0.3333, 0.5000], [0.3333, 0.6667, 0.5000], [0.0000, 0.0000, 0.5000]], "space_group": "P-62m", "e_above_lowest_polymorph_mev_per_atom": 190.3, "raw_formation_energy_ev_per_atom": -0.24, "total_magnetization_mub_per_cell": 0.00}

***

Entry 6:
{"formula": "Ce4SmTm3Se8", "functional": "PBE", "state": "optimized geometry", "cell": [[8.2007, 0.0000, 0.0000], [0.0000, 8.3269, 0.0836], [-4.1004, -4.0961, 5.8023]], "species": ["Ce", "Ce", "Ce", "Ce", "Sm", "Tm", "Tm", "Tm", "Se", "Se", "Se", "Se", "Se", "Se", "Se", "Se"], "frac_coords": [[0.5000, 0.0000, 0.0000], [0.5000, 0.0000, 0.5000], [0.0000, 0.0000, 0.0000], [0.0000, 0.0000, 0.5000], [0.0000, 0.5000, 0.0000], [0.5000, 0.5000, 0.0000], [0.5000, 0.5000, 0.5000], [0.0000, 0.5000, 0.5000], [0.2490, 0.7371, 0.9880], [0.2491, 0.7369, 0.4981], [0.2560, 0.2677, 0.5120], [0.7389, 0.7371, 0.9880], [0.2611, 0.2629, 0.0120], [0.7440, 0.7323, 0.4880], [0.7509, 0.2631, 0.5019], [0.7510, 0.2629, 0.0120]], "space_group": "R-3m", "raw_formation_energy_ev_per_atom": -1.77, "total_magnetization_mub_per_cell": 4.05}

***

Entry 7:
{"formula": "AuSeI3", "functional": "PBE", "state": "optimized geometry", "cell": [[5.7063, 0.0000, 0.0000], [0.0000, 5.7063, 0.0000], [0.0000, 0.0000, 5.7063]], "species": ["I", "I", "I", "Au", "Se"], "frac_coords": [[0.0000, 0.5000, 0.0000], [0.0000, 0.0000, 0.5000], [0.5000, 0.0000, 0.0000], [0.5000, 0.5000, 0.5000], [0.0000, 0.0000, 0.0000]], "space_group": "Pm-3m", "e_above_lowest_polymorph_mev_per_atom": 487.4, "raw_formation_energy_ev_per_atom": 0.51, "total_magnetization_mub_per_cell": 0.00}

***

Entry 8:
{"formula": "TaInNO2", "functional": "PBE", "state": "optimized geometry", "cell": [[-0.6637, 2.3464, 2.9376], [-1.6065, -4.8095, 3.4788], [3.6249, -0.3920, 1.1321]], "species": ["N", "In", "O", "O", "Ta"], "frac_coords": [[0.5000, 0.5000, 0.5000], [0.0000, 0.5000, 0.0000], [0.0000, 0.0000, 0.5000], [0.5000, 0.0000, 0.0000], [0.0000, 0.0000, 0.0000]], "space_group": "P4/mmm", "raw_formation_energy_ev_per_atom": -0.65, "total_magnetization_mub_per_cell": 1.19}

***

Entry 9:
{"formula": "KCu2GeC", "functional": "PBE", "state": "optimized geometry", "cell": [[4.7150, 0.0000, 0.0000], [0.0000, 4.2163, 0.0000], [0.0000, 0.0000, 4.7150]], "species": ["C", "Ge", "K", "Cu", "Cu"], "frac_coords": [[0.0000, 0.5000, 0.0000], [0.0000, 0.0000, 0.0000], [0.5000, 0.5000, 0.5000], [0.0000, 0.0000, 0.5000], [0.5000, 0.0000, 0.0000]], "space_group": "P4/mmm", "formation_energy_mev_per_atom": 1034, "total_magnetization_mub_per_cell": 0.00}

***

Entry 10:
{"formula": "Sm8Ir3RhCl4", "functional": "PBE", "state": "optimized geometry", "cell": [[-6.7974, 4.3163, 1.3106], [-3.4388, -3.1346, -7.5119], [2.5177, -5.4281, 5.5444]], "species": ["Sm", "Sm", "Sm", "Sm", "Sm", "Sm", "Sm", "Sm", "Ir", "Ir", "Ir", "Rh", "Cl", "Cl", "Cl", "Cl"], "frac_coords": [[0.2348, 0.7025, 0.9680], [0.2347, 0.7025, 0.4695], [0.2658, 0.2976, 0.5315], [0.7332, 0.7025, 0.9680], [0.2668, 0.2975, 0.0320], [0.7342, 0.7024, 0.4685], [0.7653, 0.2975, 0.5305], [0.7652, 0.2975, 0.0320], [0.5000, 0.5000, 0.0000], [0.5000, 0.5000, 0.5000], [0.0000, 0.5000, 0.5000], [0.0000, 0.5000, 0.0000], [0.5000, 0.0000, 0.0000], [0.5000, 0.0000, 0.5000], [0.0000, 0.0000, 0.0000], [0.0000, 0.0000, 0.5000]], "space_group": "R-3m", "raw_formation_energy_ev_per_atom": -1.20, "total_magnetization_mub_per_cell": 0.00}